--- P ---
LiZrS3: optimized geometry, PBE.

Values from the calculation:
- Fermi-level density of states: 2.558 states/eV per cell

abc: 4.9988 4.9988 4.9988
angles: 90.00 90.00 90.00
Positions (direct):
Li  0.0000  0.0000  0.0000
Zr  0.5000  0.5000  0.5000
S  0.0000  0.5000  0.5000
S  0.5000  0.0000  0.5000
S  0.5000  0.5000  0.0000

--- Q ---
LiZrS3: optimized geometry, PBE.

Values from the calculation:
- Fermi-level density of states: 4.203 states/eV per cell

abc: 4.3631 4.3631 4.3631
angles: 90.00 90.00 90.00
Positions (direct):
Li  0.0000  0.0000  0.0000
Zr  0.5000  0.5000  0.5000
S  0.0000  0.0000  0.5000
S  0.0000  0.5000  0.0000
S  0.5000  0.0000  0.0000

Tell me which of them is the least stable. Sure, it is Q.

--- P ---
LiZr2S4: optimized geometry, PBE.

Values from the calculation:
- Fermi-level density of states: 6.515 states/eV per cell

abc: 7.3765 7.3765 7.3765
angles: 120.01 119.68 90.27
Positions (direct):
Li  0.5000  0.0000  0.0000
Li  0.5000  0.5000  0.5000
Zr  0.0000  0.0000  0.0000
Zr  0.0000  0.0000  0.5000
Zr  0.0000  0.5000  0.0000
Zr  0.5000  0.0000  0.5000
S  0.2485  0.2443  0.4958
S  0.2482  0.2501  0.9981
S  0.2480  0.7499  0.4981
S  0.2485  0.7527  0.0042
S  0.7515  0.2473  0.9958
S  0.7520  0.2501  0.5019
S  0.7518  0.7499  0.0019
S  0.7515  0.7557  0.5042

--- Q ---
LiZr2S4: optimized geometry, PBE.

Values from the calculation:
- Fermi-level density of states: 3.403 states/eV per cell

abc: 6.3048 6.3048 12.7744
angles: 90.00 90.00 146.39
Positions (direct):
Li  0.1023  0.8977  0.7500
Li  0.8977  0.1023  0.2500
Zr  0.3678  0.6322  0.5693
Zr  0.3678  0.6322  0.9307
Zr  0.6322  0.3678  0.0693
Zr  0.6322  0.3678  0.4307
S  0.0000  0.0000  0.0000
S  0.0000  0.0000  0.5000
S  0.2768  0.7232  0.1183
S  0.2768  0.7232  0.3817
S  0.4533  0.5467  0.7500
S  0.5467  0.4533  0.2500
S  0.7232  0.2768  0.6183
S  0.7232  0.2768  0.8817

Tell me which of them is the least stable. Sure, it is Q.

--- P ---
Li3Sb2: optimized geometry, PBE.

Values from the calculation:
- Fermi-level density of states: 2.116 states/eV per cell

abc: 8.1288 5.6597 9.0833
angles: 61.88 37.88 80.24
Positions (direct):
Li  0.0000  0.0000  0.0000
Li  0.2500  0.2500  0.2500
Li  0.3521  0.6078  0.4546
Li  0.6078  0.3521  0.5854
Li  0.6646  0.7954  0.6422
Li  0.7954  0.6646  0.8979
Sb  0.0868  0.4759  0.9951
Sb  0.2549  0.8078  0.1632
Sb  0.4759  0.0868  0.4422
Sb  0.8078  0.2549  0.7741

--- Q ---
Li3Sb2: optimized geometry, PBE.

Values from the calculation:
- Fermi-level density of states: 1.956 states/eV per cell

abc: 6.3749 6.3749 6.3749
angles: 42.00 42.00 42.00
Positions (direct):
Li  0.0000  0.0000  0.0000
Li  0.1852  0.1852  0.1852
Li  0.8148  0.8148  0.8148
Sb  0.4166  0.4166  0.4166
Sb  0.5834  0.5834  0.5834

Tell me which of them is the least stable. Sure, it is P.

--- P ---
LiSb: optimized geometry, PBE.

Values from the calculation:
- Fermi-level density of states: 0.291 states/eV per cell

abc: 4.9505 4.9505 4.9505
angles: 39.33 39.33 39.33
Positions (direct):
Li  0.0000  0.0000  0.0000
Sb  0.5000  0.5000  0.5000

--- Q ---
LiSb: optimized geometry, PBE.

Values from the calculation:
- Fermi-level density of states: 0.034 states/eV per cell

abc: 8.2988 8.2988 8.2988
angles: 93.42 93.42 151.71
Positions (direct):
Li  0.0560  0.2132  0.2692
Li  0.2132  0.9440  0.1573
Li  0.7868  0.0560  0.8427
Li  0.9440  0.7868  0.7308
Sb  0.1721  0.7022  0.8743
Sb  0.2978  0.1721  0.4698
Sb  0.7022  0.8279  0.5302
Sb  0.8279  0.2978  0.1257

--- R ---
LiSb: optimized geometry, PBE.

Values from the calculation:
- Fermi-level density of states: 1.546 states/eV per cell

abc: 5.7613 5.7613 5.7613
angles: 137.23 137.23 62.09
Positions (direct):
Li  0.3750  0.6250  0.7500
Li  0.6250  0.3750  0.2500
Sb  0.1250  0.8750  0.2500
Sb  0.8750  0.1250  0.7500

Tell me which of them is the least stable. Sure, it is Q.

--- P ---
Li4Sb: optimized geometry, PBE.

Values from the calculation:
- Fermi-level density of states: 1.986 states/eV per cell

abc: 4.9080 5.0887 8.1735
angles: 90.00 90.29 90.00
Positions (direct):
Li  0.9998  0.0240  0.1650
Li  0.9998  0.4760  0.6650
Li  0.0002  0.5240  0.3350
Li  0.0002  0.9760  0.8350
Li  0.4995  0.2130  0.3941
Li  0.4995  0.2870  0.8941
Li  0.5005  0.7130  0.1059
Li  0.5005  0.7870  0.6059
Sb  0.0000  0.0000  0.5000
Sb  0.0000  0.5000  0.0000

--- Q ---
Li4Sb: optimized geometry, PBE.

Values from the calculation:
- Fermi-level density of states: 1.355 states/eV per cell

abc: 5.0429 5.0429 5.0429
angles: 101.12 101.12 127.90
Positions (direct):
Li  0.1098  0.7105  0.8203
Li  0.2895  0.1098  0.3993
Li  0.7105  0.8902  0.6007
Li  0.8902  0.2895  0.1797
Sb  0.5000  0.5000  0.0000

Tell me which of them is the least stable. Sure, it is P.

--- P ---
Li4Sb: optimized geometry, PBE.

Values from the calculation:
- Fermi-level density of states: 2.582 states/eV per cell

abc: 5.4548 5.4548 5.4548
angles: 109.47 109.47 109.47
Positions (direct):
Li  0.0000  0.0000  0.5000
Li  0.0000  0.5000  0.0000
Li  0.5000  0.0000  0.0000
Li  0.5000  0.5000  0.5000
Sb  0.0000  0.0000  0.0000

--- Q ---
Li4Sb: optimized geometry, PBE.

Values from the calculation:
- Fermi-level density of states: 2.155 states/eV per cell

abc: 5.2023 5.2023 5.2023
angles: 90.00 90.00 90.00
Positions (direct):
Li  0.0000  0.0000  0.0000
Li  0.0000  0.5000  0.5000
Li  0.5000  0.0000  0.5000
Li  0.5000  0.5000  0.0000
Sb  0.5000  0.5000  0.5000

Tell me which of them is the least stable. Sure, it is Q.

--- P ---
LiScSb: optimized geometry, PBE.

Values from the calculation:
- Fermi-level density of states: 2.318 states/eV per cell

abc: 4.3272 4.3272 3.8303
angles: 90.00 90.00 120.00
Positions (direct):
Li  0.0000  0.0000  0.0000
Sc  0.3333  0.6667  0.5000
Sb  0.6667  0.3333  0.0000

--- Q ---
LiScSb: optimized geometry, PBE.

Values from the calculation:
- Fermi-level density of states: 2.882 states/eV per cell

abc: 4.5745 4.5745 7.1910
angles: 90.00 90.00 120.00
Positions (direct):
Li  0.0000  0.0000  0.0000
Li  0.3333  0.6667  0.9035
Sc  0.0000  0.0000  0.5632
Sc  0.6667  0.3333  0.2262
Sb  0.3333  0.6667  0.3706
Sb  0.6667  0.3333  0.8179

--- R ---
LiScSb: optimized geometry, PBE.

Values from the calculation:
- Fermi-level density of states: 2.227 states/eV per cell

abc: 4.7088 4.7088 4.7088
angles: 60.00 60.00 60.00
Positions (direct):
Li  0.0000  0.0000  0.0000
Sc  0.5000  0.5000  0.5000
Sb  0.2500  0.2500  0.2500

Tell me which of them is the least stable. Sure, it is R.

--- P ---
LiScSb: optimized geometry, PBE.

Values from the calculation:
- Fermi-level density of states: 1.877 states/eV per cell

abc: 4.7579 4.7579 4.7579
angles: 60.00 60.00 60.00
Positions (direct):
Li  0.0000  0.0000  0.0000
Sc  0.2500  0.2500  0.2500
Sb  0.5000  0.5000  0.5000

--- Q ---
LiScSb: optimized geometry, PBE.

Values from the calculation:
- Fermi-level density of states: 3.197 states/eV per cell

abc: 3.3541 3.3541 7.3131
angles: 90.00 90.00 120.00
Positions (direct):
Li  0.0000  0.0000  0.0000
Sc  0.3333  0.6667  0.6316
Sb  0.6667  0.3333  0.3110

Tell me which of them is the least stable. Sure, it is Q.

--- P ---
LiScSb: optimized geometry, PBE.

Values from the calculation:
- Fermi-level density of states: 2.233 states/eV per cell

abc: 5.0705 5.0705 5.0705
angles: 134.30 134.30 66.63
Positions (direct):
Li  0.0000  0.0000  0.0000
Sc  0.6677  0.6677  0.0000
Sb  0.3170  0.3170  0.0000

--- Q ---
LiScSb: optimized geometry, PBE.

Values from the calculation:
- Fermi-level density of states: 5.287 states/eV per cell

abc: 4.0691 4.0691 7.6323
angles: 90.00 90.00 90.00
Positions (direct):
Li  0.2500  0.7500  0.0000
Li  0.7500  0.2500  0.0000
Sc  0.2500  0.2500  0.3633
Sc  0.7500  0.7500  0.6367
Sb  0.2500  0.2500  0.7479
Sb  0.7500  0.7500  0.2521

Tell me which of them is the least stable. Sure, it is P.

--- P ---
LiSc2Sb2: optimized geometry, PBE.

Values from the calculation:
- Fermi-level density of states: 7.443 states/eV per cell

abc: 8.1078 8.1078 3.6713
angles: 90.00 90.00 90.00
Positions (direct):
Li  0.0000  0.0000  0.0000
Li  0.5000  0.5000  0.0000
Sc  0.1331  0.3669  0.0000
Sc  0.3669  0.8669  0.0000
Sc  0.6331  0.1331  0.0000
Sc  0.8669  0.6331  0.0000
Sb  0.1673  0.6673  0.5000
Sb  0.3327  0.1673  0.5000
Sb  0.6673  0.8327  0.5000
Sb  0.8327  0.3327  0.5000

--- Q ---
LiSc2Sb2: optimized geometry, PBE.

Values from the calculation:
- Fermi-level density of states: 7.408 states/eV per cell

abc: 7.7565 7.7565 3.9063
angles: 90.00 90.00 90.00
Positions (direct):
Li  0.0000  0.0000  0.0000
Li  0.5000  0.5000  0.0000
Sc  0.1480  0.3520  0.5000
Sc  0.3520  0.8520  0.5000
Sc  0.6480  0.1480  0.5000
Sc  0.8520  0.6480  0.5000
Sb  0.1570  0.6570  0.0000
Sb  0.3430  0.1570  0.0000
Sb  0.6570  0.8430  0.0000
Sb  0.8430  0.3430  0.0000

Tell me which of them is the least stable. Sure, it is P.

--- P ---
LiScSb2Te: optimized geometry, PBE.

Values from the calculation:
- Fermi-level density of states: 4.564 states/eV per cell

abc: 4.9574 4.9574 5.2127
angles: 90.00 90.00 90.00
Positions (direct):
Li  0.0000  0.0000  0.0000
Sc  0.5000  0.5000  0.5000
Sb  0.0000  0.5000  0.0000
Sb  0.5000  0.0000  0.0000
Te  0.0000  0.0000  0.5000

--- Q ---
LiScSb2Te: optimized geometry, PBE.

Values from the calculation:
- Fermi-level density of states: 4.104 states/eV per cell

abc: 5.4968 5.4968 5.6240
angles: 90.00 90.00 90.00
Positions (direct):
Li  0.0000  0.0000  0.0000
Sc  0.5000  0.5000  0.5000
Sb  0.0000  0.5000  0.5000
Sb  0.5000  0.0000  0.5000
Te  0.5000  0.5000  0.0000

Tell me which of them is the least stable. Sure, it is P.

--- P ---
Li5SbSe6: optimized geometry, PBE.

Values from the calculation:
- Fermi-level density of states: 4.859 states/eV per cell

abc: 6.4756 6.4756 7.0481
angles: 98.71 98.71 120.83
Positions (direct):
Li  0.0000  0.0000  0.0000
Li  0.1704  0.8296  0.5000
Li  0.3533  0.6467  0.0000
Li  0.6467  0.3533  0.0000
Li  0.8296  0.1704  0.5000
Sb  0.5000  0.5000  0.5000
Se  0.0895  0.4187  0.2525
Se  0.2407  0.2407  0.7349
Se  0.4187  0.0895  0.2525
Se  0.5813  0.9105  0.7475
Se  0.7593  0.7593  0.2651
Se  0.9105  0.5813  0.7475

--- Q ---
Li5SbSe6: optimized geometry, PBE.

Values from the calculation:
- Fermi-level density of states: 1.630 states/eV per cell

abc: 7.6348 7.6348 6.0720
angles: 101.51 101.51 130.28
Positions (direct):
Li  0.0000  0.0000  0.0000
Li  0.3340  0.6660  0.5000
Li  0.3431  0.6569  0.0000
Li  0.6569  0.3431  0.0000
Li  0.6660  0.3340  0.5000
Sb  0.0000  0.0000  0.5000
Se  0.1656  0.8299  0.2304
Se  0.1701  0.8344  0.7696
Se  0.4953  0.4953  0.2512
Se  0.5047  0.5047  0.7488
Se  0.8299  0.1656  0.2304
Se  0.8344  0.1701  0.7696

Tell me which of them is the least stable. Sure, it is P.